(1)
Density functional theory data (PBE) for a relaxed HgPd2Au3 crystal.

Computed properties:
As for the density of states at the Fermi level: 5.4 states/eV per cell. The calculation puts the formation enthalpy at 0 K at 3.5 kJ per mole of atoms. As for the energy relative to the lowest polymorph listed for this composition: 0.022 eV/atom.

Cell lengths 9.676, 9.676, 8.376 Å; angles 108.66, 108.66, 17.13 degrees
Fractional positions:
Hg: 0.173 0.173 0.041
Hg: 0.827 0.827 0.959
Pd: 0.194 0.194 0.379
Pd: 0.435 0.435 0.858
Pd: 0.565 0.565 0.142
Pd: 0.806 0.806 0.621
Au: 0.062 0.062 0.440
Au: 0.195 0.195 0.715
Au: 0.434 0.434 0.234
Au: 0.566 0.566 0.766
Au: 0.805 0.805 0.285
Au: 0.938 0.938 0.560



(2)
Density functional theory data (PBE) for a relaxed HgPdAu2 crystal.

Computed properties:
As for the density of states at the Fermi level: 7.0 states/eV per cell. The calculation puts the formation enthalpy at 0 K at -4.1 kJ per mole of atoms.

Cell lengths 6.621, 6.621, 6.621 Å; angles 90.00, 90.00, 90.00 degrees
Fractional positions:
Hg: 0.000 0.000 0.000
Hg: 0.000 0.500 0.500
Hg: 0.500 0.000 0.500
Hg: 0.500 0.500 0.000
Pd: 0.250 0.250 0.250
Pd: 0.250 0.750 0.750
Pd: 0.750 0.250 0.750
Pd: 0.750 0.750 0.250
Au: 0.000 0.000 0.500
Au: 0.000 0.500 0.000
Au: 0.250 0.250 0.750
Au: 0.250 0.750 0.250
Au: 0.500 0.000 0.000
Au: 0.500 0.500 0.500
Au: 0.750 0.250 0.250
Au: 0.750 0.750 0.750



(3)
Density functional theory data (PBE) for a relaxed Hg2Pd3Au2 crystal.

Computed properties:
As for the density of states at the Fermi level: 3.3 states/eV per cell. The calculation puts the formation enthalpy at 0 K at -8.4 kJ per mole of atoms. As for the energy relative to the lowest polymorph listed for this composition: 0.000 eV/atom.

Cell lengths 4.173, 5.043, 6.553 Å; angles 82.34, 89.95, 65.66 degrees
Fractional positions:
Hg: 0.074 0.352 0.238
Hg: 0.926 0.648 0.762
Pd: 0.218 0.064 0.650
Pd: 0.500 0.500 0.500
Pd: 0.782 0.936 0.350
Au: 0.358 0.785 0.076
Au: 0.642 0.215 0.924